Entry 1:
Compound: CrSiP2
Source: Alexandria
Functional: PBE-GGA
Structure: relaxed

a = 3.431 Å, b = 3.431 Å, c = 10.071 Å
α = 90.00°, β = 90.00°, γ = 90.00°
Space group I-4m2 (No. 119)
One atom of each set of equivalent atoms:
Cr  0.000  0.000  0.000 [2 per cell]
Si  0.000  0.500  0.250 [2 per cell]
P  0.000  0.000  0.500 [2 per cell]
P  0.000  0.500  0.750 [2 per cell]

Values from the calculation:
Raw formation energy = 0.320 eV per atom
Uncorrected energy = -6.15 eV per atom
Calculated density = 3.979 g/cm3


Entry 2:
Compound: Nd3Dy4Tm
Source: Alexandria
Functional: PBE-GGA
Structure: relaxed

a = 11.600 Å, b = 6.232 Å, c = 7.212 Å
α = 90.00°, β = 90.00°, γ = 90.00°
Space group Pmn2_1 (No. 31)
One atom of each set of equivalent atoms:
Nd  0.000  0.167  0.000 [2 per cell]
Nd  0.249  0.498  0.500 [4 per cell]
Dy  0.000  0.167  0.501 [2 per cell]
Dy  0.000  0.667  0.251 [2 per cell]
Dy  0.250  0.000  0.250 [4 per cell]
Tm  0.000  0.667  0.749 [2 per cell]

Values from the calculation:
Energy relative to the elements = 2 kJ/mol of formula units
Uncorrected energy = -4.65 eV per atom
Calculated density = 7.974 g/cm3


Entry 3:
Compound: KSbOs2
Source: Alexandria
Functional: PBE-GGA
Structure: relaxed

a = 3.216 Å, b = 3.216 Å, c = 8.400 Å
α = 90.00°, β = 90.00°, γ = 90.00°
Space group P4/mmm (No. 123)
One atom of each set of equivalent atoms:
K  0.000  0.000  0.000 [1 per cell]
Sb  0.000  0.000  0.500 [1 per cell]
Os  0.500  0.500  0.325 [2 per cell]

Values from the calculation:
Raw formation energy = 1.134 eV per atom
Uncorrected energy = -5.79 eV per atom
Calculated density = 10.345 g/cm3


Entry 4:
Compound: Ca3Sb
Source: Alexandria
Functional: PBE-GGA
Structure: relaxed

a = 4.275 Å, b = 4.275 Å, c = 7.285 Å
α = 90.00°, β = 90.00°, γ = 90.00°
Space group P4/mmm (No. 123)
One atom of each set of equivalent atoms:
Ca  0.000  0.000  0.000 [1 per cell]
Ca  0.500  0.500  0.285 [2 per cell]
Sb  0.000  0.000  0.500 [1 per cell]

Values from the calculation:
Raw formation energy = -0.494 eV per atom
Uncorrected energy = -3.03 eV per atom
Calculated density = 3.018 g/cm3


Entry 5:
Compound: CdRe2MoH
Source: Alexandria
Functional: PBE-GGA
Structure: relaxed

a = 5.044 Å, b = 5.044 Å, c = 3.054 Å
α = 90.00°, β = 90.00°, γ = 90.00°
Space group P4/mmm (No. 123)
One atom of each set of equivalent atoms:
Cd  0.000  0.000  0.000 [1 per cell]
Re  0.000  0.500  0.000 [2 per cell]
Mo  0.500  0.500  0.500 [1 per cell]
H  0.000  0.000  0.500 [1 per cell]

Values from the calculation:
Uncorrected energy = -6.16 eV per atom
Calculated density = 12.438 g/cm3


Entry 6:
Compound: HfGe3Se
Source: Alexandria
Functional: PBE-GGA
Structure: relaxed

a = 4.924 Å, b = 4.924 Å, c = 4.924 Å
α = 90.00°, β = 90.00°, γ = 90.00°
Space group Pm-3m (No. 221)
One atom of each set of equivalent atoms:
Hf  0.000  0.000  0.000 [1 per cell]
Ge  0.000  0.500  0.500 [3 per cell]
Se  0.500  0.500  0.500 [1 per cell]

Values from the calculation:
Raw formation energy = 0.846 eV per atom
Uncorrected energy = -4.61 eV per atom
Calculated density = 6.613 g/cm3


Entry 7:
Compound: MnZnFe2
Source: Alexandria
Functional: PBE-GGA
Structure: relaxed

a = 2.464 Å, b = 3.980 Å, c = 4.985 Å
α = 90.00°, β = 103.19°, γ = 90.00°
Space group P2/m (No. 10)
One atom of each set of equivalent atoms:
Mn  0.000  0.000  0.000 [1 per cell]
Zn  0.500  0.000  0.500 [1 per cell]
Fe  0.246  0.500  0.764 [2 per cell]

Values from the calculation:
Energy relative to the elements = 49 kJ/mol of formula units
Uncorrected energy = -6.72 eV per atom
Calculated density = 8.094 g/cm3


Entry 8:
Compound: Ho2ErMg
Source: Alexandria
Functional: PBE-GGA
Structure: relaxed

a = 5.391 Å, b = 5.391 Å, c = 4.002 Å
α = 90.00°, β = 90.00°, γ = 90.00°
Space group P4/mmm (No. 123)
One atom of each set of equivalent atoms:
Ho  0.000  0.500  0.000 [2 per cell]
Er  0.000  0.000  0.500 [1 per cell]
Mg  0.500  0.500  0.500 [1 per cell]

Values from the calculation:
Energy relative to the elements = 18 kJ/mol of formula units
Uncorrected energy = -3.78 eV per atom
Calculated density = 7.446 g/cm3


Entry 9:
Compound: CdFeNi2Mo
Source: Alexandria
Functional: PBE-GGA
Structure: relaxed

a = 4.555 Å, b = 4.555 Å, c = 4.402 Å
α = 90.00°, β = 90.00°, γ = 90.00°
Space group P4/mmm (No. 123)
One atom of each set of equivalent atoms:
Cd  0.000  0.000  0.000 [1 per cell]
Fe  0.500  0.500  0.000 [1 per cell]
Ni  0.000  0.500  0.500 [2 per cell]
Mo  0.500  0.500  0.500 [1 per cell]

Values from the calculation:
Energy relative to the elements = 570 kJ/mol of formula units
Uncorrected energy = -5.17 eV per atom
Calculated density = 6.939 g/cm3


Entry 10:
Compound: YOs2Cl
Source: Alexandria
Functional: PBE-GGA
Structure: relaxed

a = 3.0520 Å, b = 3.0520 Å, c = 26.4724 Å
α = 90.00°, β = 90.00°, γ = 120.00°
Space group R-3m (No. 166, hexagonal axes)
One atom of each set of equivalent atoms:
Y  0.0000  0.0000  0.0000 [3 per cell]
Os  0.0000  0.0000  0.2451 [6 per cell]
Cl  0.0000  0.0000  0.5000 [3 per cell]

Values from the calculation:
Raw formation energy = 0.879 eV per atom
Uncorrected energy = -6.81 eV per atom
Calculated density = 11.776 g/cm3


Entry 11:
Compound: Pm2Dy2Pb5
Source: Alexandria
Functional: PBE-GGA
Structure: relaxed

a = 16.652 Å, b = 8.216 Å, c = 8.228 Å
α = 90.00°, β = 90.00°, γ = 90.00°
Space group Cmce (No. 64)
One atom of each set of equivalent atoms:
Pm  0.191  0.000  0.000 [8 per cell]
Dy  0.000  0.162  0.337 [8 per cell]
Pb  0.000  0.000  0.000 [4 per cell]
Pb  0.135  0.135  0.634 [16 per cell]

Values from the calculation:
Energy relative to the elements = -348 kJ/mol of formula units
Uncorrected energy = -4.54 eV per atom
Calculated density = 9.741 g/cm3


Entry 12:
Compound: Li2PtSe
Source: Alexandria
Functional: PBE-GGA
Structure: relaxed

a = 3.951 Å, b = 3.951 Å, c = 7.574 Å
α = 90.00°, β = 90.00°, γ = 90.00°
Space group I-4m2 (No. 119)
One atom of each set of equivalent atoms:
Li  0.000  0.000  0.000 [2 per cell]
Li  0.000  0.500  0.250 [2 per cell]
Pt  0.000  0.500  0.750 [2 per cell]
Se  0.000  0.000  0.500 [2 per cell]

Values from the calculation:
Raw formation energy = -0.621 eV per atom
Uncorrected energy = -3.96 eV per atom
Calculated density = 8.089 g/cm3


Entry 13:
Compound: LiPrCdGe2
Source: Alexandria
Functional: PBE-GGA
Structure: relaxed

a = 4.282 Å, b = 4.282 Å, c = 11.702 Å
α = 90.00°, β = 90.00°, γ = 90.00°
Space group I-4m2 (No. 119)
One atom of each set of equivalent atoms:
Li  0.000  0.000  0.000 [2 per cell]
Pr  0.000  0.500  0.250 [2 per cell]
Cd  0.000  0.000  0.500 [2 per cell]
Ge  0.000  0.500  0.643 [4 per cell]

Values from the calculation:
Energy relative to the elements = -241 kJ/mol of formula units
Uncorrected energy = -3.87 eV per atom
Calculated density = 6.278 g/cm3


Entry 14:
Compound: BaNa3P
Source: Alexandria
Functional: PBE-GGA
Structure: relaxed

a = 5.621 Å, b = 5.621 Å, c = 5.621 Å
α = 90.00°, β = 90.00°, γ = 90.00°
Space group Pm-3m (No. 221)
One atom of each set of equivalent atoms:
Ba  0.000  0.000  0.000 [1 per cell]
Na  0.000  0.500  0.500 [3 per cell]
P  0.500  0.500  0.500 [1 per cell]

Values from the calculation:
Energy relative to the elements = -28 kJ/mol of formula units
Uncorrected energy = -2.32 eV per atom
Calculated density = 2.218 g/cm3


Entry 15:
Compound: AcNdAlRh
Source: Alexandria
Functional: PBE-GGA
Structure: relaxed

a = 7.493 Å, b = 7.493 Å, c = 7.493 Å
α = 90.00°, β = 90.00°, γ = 90.00°
Space group F-43m (No. 216)
One atom of each set of equivalent atoms:
Ac  0.000  0.000  0.000 [4 per cell]
Nd  0.000  0.000  0.500 [4 per cell]
Al  0.250  0.250  0.750 [4 per cell]
Rh  0.250  0.250  0.250 [4 per cell]

Values from the calculation:
Energy relative to the elements = -125 kJ/mol of formula units
Uncorrected energy = -5.32 eV per atom
Calculated density = 7.913 g/cm3


Entry 16:
Compound: Li2IrPtN
Source: Alexandria
Functional: PBE-GGA
Structure: relaxed

a = 4.040 Å, b = 4.040 Å, c = 3.760 Å
α = 90.00°, β = 90.00°, γ = 90.00°
Space group P4/mmm (No. 123)
One atom of each set of equivalent atoms:
Li  0.000  0.500  0.000 [2 per cell]
Ir  0.000  0.000  0.500 [1 per cell]
Pt  0.500  0.500  0.500 [1 per cell]
N  0.000  0.000  0.000 [1 per cell]

Values from the calculation:
Raw formation energy = -0.310 eV per atom
Uncorrected energy = -5.72 eV per atom
Calculated density = 11.236 g/cm3


Entry 17:
Compound: LiSmSi2O6
Source: Alexandria
Functional: PBE-GGA
Structure: relaxed

a = 10.257 Å, b = 9.769 Å, c = 5.563 Å
α = 90.00°, β = 111.51°, γ = 90.00°
Space group C2/c (No. 15)
One atom of each set of equivalent atoms:
Li  0.000  0.238  0.250 [4 per cell]
Sm  0.000  0.122  0.750 [4 per cell]
Si  0.200  0.420  0.693 [8 per cell]
O  0.121  0.274  0.614 [8 per cell]
O  0.127  0.084  0.185 [8 per cell]
O  0.154  0.485  0.928 [8 per cell]

Values from the calculation:
Raw formation energy = -2.883 eV per atom
Uncorrected energy = -7.61 eV per atom
Calculated density = 3.963 g/cm3